[1]
Ce3Si2Tc5: optimized geometry, PBE-GGA.

Summary:
Symmetry = Ibam, No. 72
Calculated total energy = -8.27 eV per atom
DOS(E_F) = 1.760 states/eV per atom
Volume = 19.50 A^3/atom

Lattice parameters (Å, degrees): 5.912 8.655 8.655 79.23 70.03 70.03
Site moments in Bohr magnetons follow the coordinates.
Atoms (fractional coordinates):
Ce1 0.250 0.000 0.000  0.07
Ce2 0.750 0.000 0.000  0.07
Ce3 0.377 0.397 0.848  0.29
Ce4 0.623 0.603 0.152  0.29
Ce5 0.877 0.848 0.397  0.29
Ce6 0.123 0.152 0.603  0.29
Si1 0.134 0.690 0.041  0.00
Si2 0.866 0.310 0.959  0.00
Si3 0.634 0.041 0.690  0.00
Si4 0.366 0.959 0.310  0.00
Tc1 0.250 0.500 0.500  0.01
Tc2 0.750 0.500 0.500  0.01
Tc3 0.462 0.788 0.788  0.03
Tc4 0.038 0.212 0.212  0.03
Tc5 0.538 0.212 0.212  0.03
Tc6 0.962 0.788 0.788  0.03
Tc7 0.139 0.465 0.257  0.00
Tc8 0.861 0.535 0.743  0.00
Tc9 0.639 0.257 0.465  0.00
Tc10 0.361 0.743 0.535  0.00



[2]
Li5B8C8: optimized geometry, PBE-GGA.

Summary:
Symmetry = C2/m, No. 12
Distance to the lowest polymorph of the same formula = 0.023 eV/atom
Formation energy from the elements = -122 meV/atom
DOS(E_F) = 0.330 states/eV per atom
Volume = 8.76 A^3/atom

Lattice parameters (Å, degrees): 8.598 7.678 5.445 79.84 61.54 38.57
Atoms (fractional coordinates):
C1 0.204 0.540 0.461
C2 0.294 0.960 0.540
C3 0.200 0.534 0.966
C4 0.295 0.961 0.040
C5 0.706 0.040 0.460
C6 0.796 0.460 0.539
C7 0.705 0.039 0.960
C8 0.800 0.466 0.034
B1 0.959 0.295 0.708
B2 0.545 0.211 0.289
B3 0.960 0.296 0.204
B4 0.538 0.208 0.795
B5 0.455 0.789 0.711
B6 0.041 0.705 0.292
B7 0.462 0.792 0.205
B8 0.040 0.704 0.796
Li1 0.251 0.250 0.250
Li2 0.252 0.248 0.748
Li3 0.748 0.752 0.252
Li4 0.000 0.000 0.500
Li5 0.749 0.750 0.750